This record from the Alexandria database describes an optimized crystal structure of CuIrRu2. The functional is GGA-PBE.

Structure (POSCAR):
```
CuIrRu2
1.0
4.707 -0.006 0.000
1.710 4.385 0.000
-3.208 -2.190 2.658
Cu Ir Ru
1 1 2
direct
0.500 0.500 0.000
0.750 0.250 0.500
0.000 0.000 0.000
0.250 0.750 0.500
```

Calculated values
* energy of formation: 0.1905 eV per atom
* DFT total energy: -30.75 eV for the cell shown
* magnetization: 0.00 μB/f.u.
* offset from the most stable computed form: 61.7 meV/atom